Record 1
Ba6Zn7F26: relaxed, PBE.

Raw total energy in eV/atom: -4.79

```
Ba6Zn7F26
1.0
2.383 -2.182 4.919
-3.485 9.129 2.218
-9.053 -4.325 -1.054
Zn F Ba
7 26 6
direct
0.762 0.500 0.500
0.238 0.500 0.500
0.500 0.000 0.000
0.490 0.269 0.711
0.238 0.251 0.226
0.762 0.749 0.774
0.510 0.731 0.289
0.135 0.133 0.617
0.509 0.597 0.420
0.627 0.638 0.148
0.864 0.130 0.095
0.009 0.607 0.410
0.473 0.103 0.843
0.616 0.133 0.617
0.527 0.897 0.157
0.373 0.362 0.852
0.991 0.393 0.590
0.865 0.867 0.383
0.778 0.897 0.660
0.159 0.638 0.148
0.059 0.344 0.326
0.390 0.656 0.674
0.222 0.103 0.340
0.228 0.372 0.084
0.841 0.362 0.852
0.639 0.870 0.905
0.941 0.656 0.674
0.610 0.344 0.326
0.384 0.867 0.383
0.136 0.870 0.905
0.491 0.403 0.580
0.361 0.130 0.095
0.772 0.628 0.916
0.994 0.140 0.848
0.758 0.415 0.101
0.242 0.884 0.599
0.006 0.860 0.152
0.242 0.585 0.899
0.758 0.116 0.401
```



Record 2
NaInCoAs: relaxed, PBE.

Total moment in μB/cell: 0.04
Raw total energy in eV/atom: -3.76
Distance to the lowest polymorph of the same formula in meV per atom: 0.0

```
NaInCoAs
1.0
0.000 3.250 3.250
3.250 0.000 3.250
3.250 3.250 0.000
As Na Co In
1 1 1 1
direct
0.500 0.500 0.500
0.750 0.750 0.750
0.250 0.250 0.250
0.000 0.000 0.000
```



Record 3
TaBiN2O: relaxed, PBE.

Total moment in μB/cell: 0.01
Raw total energy in eV/atom: -8.35

```
TaBiN2O
1.0
-0.611 7.658 2.140
-2.247 1.976 -7.713
-7.054 -8.702 -0.175
N Ta O Bi
16 8 8 8
direct
0.478 0.751 0.274
0.688 0.479 0.002
0.018 0.244 0.795
0.193 0.020 0.693
0.982 0.744 0.705
0.312 0.521 0.998
0.193 0.480 0.193
0.478 0.749 0.774
0.807 0.980 0.307
0.522 0.251 0.226
0.807 0.520 0.807
0.312 0.979 0.498
0.018 0.256 0.295
0.982 0.756 0.205
0.688 0.021 0.502
0.522 0.249 0.726
0.997 0.508 0.747
0.003 0.492 0.253
0.498 0.008 0.749
0.003 0.008 0.753
0.997 0.992 0.247
0.502 0.992 0.251
0.498 0.492 0.249
0.502 0.508 0.751
0.711 0.039 0.000
0.201 0.456 0.700
0.799 0.544 0.300
0.289 0.539 0.500
0.201 0.044 0.200
0.711 0.461 0.500
0.289 0.961 0.000
0.799 0.956 0.800
0.044 0.729 0.032
0.541 0.726 0.012
0.956 0.229 0.468
0.956 0.271 0.968
0.459 0.226 0.488
0.459 0.274 0.988
0.044 0.771 0.532
0.541 0.774 0.512
```



Record 4
Hf2GaBiPd2: relaxed, PBE.

Total moment in μB/cell: 0.00
Raw total energy in eV/atom: -6.79

```
Hf2GaBiPd2
1.0
-3.147 3.301 4.408
1.493 -4.376 4.343
4.443 2.636 5.762
Ga Bi Pd Hf
2 2 4 4
direct
0.250 0.750 0.500
0.000 0.000 0.000
0.500 0.500 0.000
0.750 0.250 0.500
0.362 0.375 0.750
0.888 0.875 0.750
0.625 0.112 0.250
0.125 0.638 0.250
0.007 0.507 0.986
0.243 0.243 0.514
0.757 0.757 0.486
0.493 0.993 0.014
```



Record 5
GdAlIr: relaxed, PBE.

Total moment in μB/cell: 0.01
Raw total energy in eV/atom: -6.54

```
GdAlIr
1.0
4.370 0.000 0.000
-2.185 3.785 0.000
0.000 0.000 7.403
Al Ir Gd
2 2 2
direct
0.667 0.333 0.998
0.333 0.667 0.498
0.667 0.333 0.503
0.333 0.667 0.003
0.000 0.000 0.749
0.000 0.000 0.249
```



Record 6
TbSbN2O: relaxed, PBE.

Total moment in μB/cell: 0.00
Raw total energy in eV/atom: -7.05

```
TbSbN2O
1.0
5.694 0.000 0.000
0.000 8.091 0.000
0.000 0.000 5.509
N O Sb Tb
8 4 4 4
direct
0.701 0.560 0.198
0.701 0.940 0.198
0.799 0.440 0.698
0.201 0.560 0.302
0.201 0.940 0.302
0.299 0.060 0.802
0.799 0.060 0.698
0.299 0.440 0.802
0.539 0.750 0.618
0.461 0.250 0.382
0.039 0.750 0.882
0.961 0.250 0.118
0.500 0.000 0.500
0.500 0.500 0.500
0.000 0.000 0.000
0.000 0.500 0.000
0.440 0.750 0.025
0.560 0.250 0.975
0.060 0.250 0.525
0.940 0.750 0.475
```



Record 7
ZrB: relaxed, PBE.

Total moment in μB/cell: 0.00
Raw total energy in eV/atom: -7.78

```
ZrB
1.0
-2.454 -1.584 3.885
3.546 1.320 5.818
-2.190 4.283 0.363
Zr B
5 5
direct
0.352 0.467 0.000
0.532 0.102 0.500
0.835 0.498 0.500
0.180 0.800 0.500
0.018 0.133 0.000
0.355 0.459 0.500
0.014 0.141 0.500
0.677 0.800 0.000
0.820 0.531 0.000
0.551 0.069 0.000
```



Record 8
NbGaNiPd: relaxed, PBE.

Total moment in μB/cell: 0.01
Raw total energy in eV/atom: -6.20
Distance to the lowest polymorph of the same formula in meV per atom: 80.8

```
NbGaNiPd
1.0
0.000 3.087 3.087
3.087 0.000 3.087
3.087 3.087 0.000
Pd Ga Nb Ni
1 1 1 1
direct
0.500 0.500 0.500
0.000 0.000 0.000
0.250 0.250 0.250
0.750 0.750 0.750
```



Record 9
Pm3Co: relaxed, PBE.

Total moment in μB/cell: 0.06
E_form in eV per atom: 0.342
Raw total energy in eV/atom: -4.99
Distance to the lowest polymorph of the same formula in meV per atom: 144.0

```
Pm3Co
1.0
-1.271 0.696 4.492
-3.159 -3.489 -0.354
3.269 -3.102 1.405
Pm Co
3 1
direct
0.000 0.500 0.500
0.500 0.000 0.500
0.500 0.500 0.000
0.000 0.000 0.000
```



Record 10
SrCu2Mo: relaxed, PBE.

Total moment in μB/cell: 2.49
Raw total energy in eV/atom: -4.05

```
SrCu2Mo
1.0
0.000 3.312 3.312
3.312 0.000 3.312
3.312 3.312 0.000
Cu Sr Mo
2 1 1
direct
0.250 0.250 0.250
0.000 0.000 0.000
0.500 0.500 0.500
0.750 0.750 0.750
```



Record 11
ThMgZn: relaxed, PBE.

Total moment in μB/cell: 0.00
Raw total energy in eV/atom: -3.41

```
ThMgZn
1.0
0.000 3.399 3.399
3.399 0.000 3.399
3.399 3.399 0.000
Th Mg Zn
1 1 1
direct
0.750 0.750 0.750
0.250 0.250 0.250
0.000 0.000 0.000
```



Record 12
Y2FeCoSi2: relaxed, PBE.

Total moment in μB/cell: 0.01
Raw total energy in eV/atom: -7.24

```
Y2FeCoSi2
1.0
-1.296 -3.359 1.639
0.214 -1.799 -3.517
6.222 -1.773 1.286
Y Si Co Fe
2 2 1 1
direct
0.500 0.000 0.680
0.000 0.500 0.320
0.000 0.500 0.816
0.500 0.000 0.184
0.000 0.000 0.000
0.500 0.500 0.000
```